DFT (PBE-GGA) results for an optimized crystal structure of La2ZnInRh.

Lattice parameters (Å, degrees): 5.454 5.454 4.912 90.00 90.00 90.00
Atoms (fractional coordinates):
La1 0.500 0.000 0.000
La2 0.000 0.500 0.000
Zn1 0.000 0.000 0.500
In1 0.500 0.500 0.500
Rh1 0.000 0.000 0.000

Values from the calculation:
**Energy relative to the elements**: -0.438 eV per atom
**VASP energy**: -23.4 eV/cell